This record from the Alexandria database describes a geometry-optimized Sr2TmGe3Ir4 structure. The functional is PBE.

Summary:
Energy of formation, meV per atom: -652.2

The structure in CIF format:
```
data_Sr2TmGe3Ir4
_cell_length_a 4.268
_cell_length_b 4.268
_cell_length_c 11.173
_cell_angle_alpha 90.00
_cell_angle_beta 90.00
_cell_angle_gamma 90.00
_symmetry_space_group_name_H-M 'P -4 m 2'
_symmetry_Int_Tables_number 115
loop_
_symmetry_equiv_pos_as_xyz
'x,y,z'
'y,-x,-z'
'-x,-y,z'
'-y,x,-z'
'-x,y,z'
'-y,-x,-z'
'x,-y,z'
'y,x,-z'
loop_
_atom_site_label
_atom_site_fract_x
_atom_site_fract_y
_atom_site_fract_z
_atom_site_occupancy
Sr1 0.000 0.500 0.234 1
Tm1 0.000 0.000 0.500 1
Ge1 0.000 0.500 0.880 1
Ge2 0.500 0.500 0.500 1
Ir1 0.000 0.000 0.000 1
Ir2 0.000 0.500 0.650 1
Ir3 0.500 0.500 0.000 1
```

=====

This record from the Alexandria database describes a geometry-optimized SrZn2GeIr2 structure. The functional is PBE.

Summary:
Energy of formation, meV per atom: -60.4

The structure in CIF format:
```
data_SrZn2GeIr2
_cell_length_a 4.658
_cell_length_b 4.658
_cell_length_c 5.868
_cell_angle_alpha 90.00
_cell_angle_beta 90.00
_cell_angle_gamma 90.00
_symmetry_space_group_name_H-M 'P 4/m m m'
_symmetry_Int_Tables_number 123
_symmetry_space_group_name_Hall '-P 4 2'
loop_
_atom_site_label
_atom_site_fract_x
_atom_site_fract_y
_atom_site_fract_z
_atom_site_occupancy
Sr1 0.000 0.000 0.000 1
Zn1 0.500 0.500 0.247 1
Ge1 0.000 0.000 0.500 1
Ir1 0.000 0.500 0.500 1
```

=====

This record from the Alexandria database describes a geometry-optimized SrZn2GeIr structure. The functional is PBE.

Summary:
Energy of formation, meV per atom: -317.0

The structure in CIF format:
```
data_SrZn2GeIr
_cell_length_a 4.132
_cell_length_b 4.293
_cell_length_c 11.136
_cell_angle_alpha 90.00
_cell_angle_beta 90.00
_cell_angle_gamma 90.00
_symmetry_space_group_name_H-M 'I m m 2'
_symmetry_Int_Tables_number 44
loop_
_symmetry_equiv_pos_as_xyz
'x,y,z'
'-x,-y,z'
'-x,y,z'
'x,-y,z'
'x+1/2,y+1/2,z+1/2'
'-x+1/2,-y+1/2,z+1/2'
'-x+1/2,y+1/2,z+1/2'
'x+1/2,-y+1/2,z+1/2'
loop_
_atom_site_label
_atom_site_fract_x
_atom_site_fract_y
_atom_site_fract_z
_atom_site_occupancy
Sr1 0.000 0.000 0.000 1
Zn1 0.000 0.000 0.621 1
Zn2 0.000 0.500 0.252 1
Ge1 0.000 0.000 0.379 1
Ir1 0.000 0.500 0.753 1
```

=====

This record from the Alexandria database describes a geometry-optimized SrZn2GeIr structure. The functional is PBE.

Summary:
Energy of formation, meV per atom: -302.3

The structure in CIF format:
```
data_SrZn2GeIr
_cell_length_a 4.896
_cell_length_b 4.896
_cell_length_c 4.749
_cell_angle_alpha 90.00
_cell_angle_beta 90.00
_cell_angle_gamma 90.00
_symmetry_space_group_name_H-M 'P 4/m m m'
_symmetry_Int_Tables_number 123
_symmetry_space_group_name_Hall '-P 4 2'
loop_
_atom_site_label
_atom_site_fract_x
_atom_site_fract_y
_atom_site_fract_z
_atom_site_occupancy
Sr1 0.000 0.000 0.000 1
Zn1 0.000 0.500 0.500 1
Ge1 0.500 0.500 0.000 1
Ir1 0.500 0.500 0.500 1
```

=====

This record from the Alexandria database describes a geometry-optimized SrZnGeIr structure. The functional is PBE.

Summary:
Energy of formation, meV per atom: -418.3

The structure in CIF format:
```
data_SrZnGeIr
_cell_length_a 4.3103
_cell_length_b 4.3103
_cell_length_c 16.8208
_cell_angle_alpha 90.00
_cell_angle_beta 90.00
_cell_angle_gamma 120.00
_symmetry_space_group_name_H-M 'R 3 m'
_symmetry_Int_Tables_number 160
_symmetry_space_group_name_Hall 'R 3 -2"'
loop_
_atom_site_label
_atom_site_fract_x
_atom_site_fract_y
_atom_site_fract_z
_atom_site_occupancy
Sr1 0.0000 0.0000 0.0000 1
Zn1 0.0000 0.0000 0.1990 1
Ge1 0.0000 0.0000 0.4592 1
Ir1 0.0000 0.0000 0.8119 1
```

=====

This record from the Alexandria database describes a geometry-optimized Sr2ZrGe3Ir4 structure. The functional is PBE.

Summary:
Energy of formation, meV per atom: -651.2

The structure in CIF format:
```
data_Sr2ZrGe3Ir4
_cell_length_a 4.257
_cell_length_b 4.257
_cell_length_c 11.061
_cell_angle_alpha 90.00
_cell_angle_beta 90.00
_cell_angle_gamma 90.00
_symmetry_space_group_name_H-M 'P -4 m 2'
_symmetry_Int_Tables_number 115
loop_
_symmetry_equiv_pos_as_xyz
'x,y,z'
'y,-x,-z'
'-x,-y,z'
'-y,x,-z'
'-x,y,z'
'-y,-x,-z'
'x,-y,z'
'y,x,-z'
loop_
_atom_site_label
_atom_site_fract_x
_atom_site_fract_y
_atom_site_fract_z
_atom_site_occupancy
Sr1 0.000 0.500 0.236 1
Zr1 0.000 0.000 0.500 1
Ge1 0.000 0.500 0.879 1
Ge2 0.500 0.500 0.500 1
Ir1 0.000 0.000 0.000 1
Ir2 0.000 0.500 0.644 1
Ir3 0.500 0.500 0.000 1
```